(1)
Computed, not measured: a relaxed Tb8Ga3Co crystal at the GGA-PBE level of DFT.

Lattice parameters (Å, degrees): 10.071 10.071 6.919 90.00 90.00 120.00
Sites, in units of the cell vectors:
Tb1 0.655 0.828 0.991
Tb2 0.333 0.667 0.672
Tb3 0.464 0.536 0.292
Tb4 0.828 0.655 0.491
Tb5 0.345 0.172 0.491
Tb6 0.928 0.464 0.792
Tb7 0.000 0.000 0.269
Tb8 0.828 0.172 0.491
Tb9 0.536 0.072 0.792
Tb10 0.072 0.536 0.292
Tb11 0.000 0.000 0.769
Tb12 0.536 0.464 0.792
Tb13 0.172 0.345 0.991
Tb14 0.172 0.828 0.991
Tb15 0.464 0.928 0.292
Tb16 0.667 0.333 0.172
Co1 0.333 0.667 0.059
Co2 0.667 0.333 0.559
Ga1 0.164 0.327 0.538
Ga2 0.164 0.836 0.538
Ga3 0.836 0.164 0.038
Ga4 0.836 0.673 0.038
Ga5 0.327 0.164 0.038
Ga6 0.673 0.836 0.538

Results
**Energy**: -4.8325 eV/atom
**Symmetry**: No. 186

---

(2)
Computed, not measured: a relaxed YTaFeB crystal at the GGA-PBE level of DFT.

Lattice parameters (Å, degrees): 4.346 4.346 4.346 60.00 60.00 60.00
Sites, in units of the cell vectors:
Y1 0.500 0.500 0.500
B1 0.000 0.000 0.000
Ta1 0.250 0.250 0.250
Fe1 0.750 0.750 0.750

Results
**Polymorph energy (0 for the lowest one)**: 187 meV/atom
**Energy**: -7.3574 eV/atom
**Symmetry**: No. 216

---

(3)
Computed, not measured: a relaxed Zn2Si2As3P crystal at the GGA-PBE level of DFT.

Lattice parameters (Å, degrees): 6.729 6.729 5.599 114.28 114.28 49.32
Sites, in units of the cell vectors:
As1 0.374 0.127 0.262
As2 0.609 0.391 0.000
As3 0.873 0.626 0.738
P1 0.142 0.858 0.500
Si1 0.245 0.510 0.620
Si2 0.490 0.755 0.380
Zn1 0.762 0.995 0.137
Zn2 0.005 0.238 0.863

Results
**Energy**: -4.3160 eV/atom
**Symmetry**: No. 5

---

(4)
Computed, not measured: a relaxed BPd crystal at the GGA-PBE level of DFT.

Lattice parameters (Å, degrees): 3.387 3.387 3.387 60.00 60.00 60.00
Sites, in units of the cell vectors:
B1 0.000 0.000 0.000
Pd1 0.250 0.250 0.250

Results
**Energy**: -5.5264 eV/atom
**Symmetry**: No. 216